1.
VASP calculation (PBE-GGA) on a relaxed structure of Al2AgHg.

Computed properties:
- magnetization (μB/atom) = 0.000
- total energy (eV/atom) = -2.53

Lattice parameters (Å, degrees): 5.141 5.141 5.141 131.46 131.46 71.08
Fractional positions:
1 Hg 0.250 0.750 0.500
2 Ag 0.750 0.250 0.500
3 Al 0.000 0.000 0.000
4 Al 0.500 0.500 0.000



2.
VASP calculation (PBE-GGA) on a relaxed structure of Al4AgHg.

Computed properties:
- magnetization (μB/atom) = 0.000
- total energy (eV/atom) = -2.80

Lattice parameters (Å, degrees): 5.457 5.457 5.457 60.00 60.00 60.00
Fractional positions:
1 Al 0.877 0.374 0.374
2 Al 0.374 0.374 0.877
3 Al 0.374 0.877 0.374
4 Al 0.374 0.374 0.374
5 Ag 0.000 0.000 0.000
6 Hg 0.750 0.750 0.750



3.
VASP calculation (PBE-GGA) on a relaxed structure of AlAgHg2.

Computed properties:
- magnetization (μB/atom) = 0.000
- total energy (eV/atom) = -1.64

Lattice parameters (Å, degrees): 3.112 3.112 9.059 90.00 90.00 107.18
Fractional positions:
1 Hg 0.000 0.000 0.997
2 Hg 0.000 0.000 0.503
3 Ag 0.500 0.500 0.250
4 Al 0.500 0.500 0.750



4.
VASP calculation (PBE-GGA) on a relaxed structure of AlAgHg3.

Computed properties:
- polymorph energy (0 for the lowest one) (meV/atom) = 120
- magnetization (μB/atom) = 0.000
- total energy (eV/atom) = -1.05

Lattice parameters (Å, degrees): 5.370 5.370 5.370 90.00 90.00 90.00
Fractional positions:
1 Hg 0.000 0.500 0.000
2 Hg 0.000 0.000 0.500
3 Hg 0.500 0.000 0.000
4 Ag 0.000 0.000 0.000
5 Al 0.500 0.500 0.500



5.
VASP calculation (PBE-GGA) on a relaxed structure of Al2AgHg.

Computed properties:
- magnetization (μB/atom) = 0.000
- total energy (eV/atom) = -2.48

Lattice parameters (Å, degrees): 4.686 4.686 3.487 90.00 90.00 90.00
Fractional positions:
1 Hg 0.500 0.000 0.500
2 Ag 0.000 0.500 0.500
3 Al 0.000 0.000 0.000
4 Al 0.500 0.500 0.000



6.
VASP calculation (PBE-GGA) on a relaxed structure of AlAg2Hg.

Computed properties:
- polymorph energy (0 for the lowest one) (meV/atom) = 13
- magnetization (μB/atom) = 0.000
- total energy (eV/atom) = -2.40

Lattice parameters (Å, degrees): 3.092 3.092 7.795 90.00 90.00 90.00
Fractional positions:
1 Hg 0.500 0.500 0.750
2 Ag 0.000 0.000 0.029
3 Ag 0.000 0.000 0.471
4 Al 0.500 0.500 0.250



7.
VASP calculation (PBE-GGA) on a relaxed structure of AlAg4Hg.

Computed properties:
- polymorph energy (0 for the lowest one) (meV/atom) = 22
- magnetization (μB/atom) = 0.000
- total energy (eV/atom) = -2.55

Lattice parameters (Å, degrees): 5.207 7.609 7.159 113.56 99.87 111.22
Fractional positions:
1 Al 0.250 0.000 0.999
2 Al 0.750 0.000 0.001
3 Ag 0.040 0.179 0.776
4 Ag 0.763 0.713 0.623
5 Ag 0.237 0.598 0.776
6 Ag 0.360 0.910 0.623
7 Ag 0.640 0.090 0.377
8 Ag 0.763 0.402 0.224
9 Ag 0.237 0.287 0.377
10 Ag 0.960 0.821 0.224
11 Hg 0.352 0.602 0.204
12 Hg 0.648 0.398 0.796



8.
VASP calculation (PBE-GGA) on a relaxed structure of AlAg2Hg.

Computed properties:
- polymorph energy (0 for the lowest one) (meV/atom) = 0
- magnetization (μB/atom) = 0.000
- total energy (eV/atom) = -2.41

Lattice parameters (Å, degrees): 3.025 3.025 9.328 81.61 81.61 63.69
Fractional positions:
1 Al 0.667 0.667 0.000
2 Ag 0.075 0.075 0.772
3 Ag 0.259 0.259 0.228
4 Hg 0.498 0.498 0.500



9.
VASP calculation (PBE-GGA) on a relaxed structure of Al2AgHg.

Computed properties:
- magnetization (μB/atom) = 0.000
- total energy (eV/atom) = -2.46

Lattice parameters (Å, degrees): 4.798 4.798 4.798 60.00 60.00 60.00
Fractional positions:
1 Hg 0.250 0.250 0.250
2 Ag 0.500 0.500 0.500
3 Al 0.000 0.000 0.000
4 Al 0.750 0.750 0.750



10.
VASP calculation (PBE-GGA) on a relaxed structure of AlAg4Hg.

Computed properties:
- polymorph energy (0 for the lowest one) (meV/atom) = 0
- magnetization (μB/atom) = 0.000
- total energy (eV/atom) = -2.57

Lattice parameters (Å, degrees): 3.143 3.143 11.044 90.00 90.00 90.00
Fractional positions:
1 Al 0.500 0.500 0.500
2 Ag 0.500 0.500 0.816
3 Ag 0.500 0.500 0.184
4 Ag 0.000 0.000 0.645
5 Ag 0.000 0.000 0.355
6 Hg 0.000 0.000 0.000



11.
VASP calculation (PBE-GGA) on a relaxed structure of AlAg2Hg.

Computed properties:
- polymorph energy (0 for the lowest one) (meV/atom) = 46
- magnetization (μB/atom) = 0.000
- total energy (eV/atom) = -2.37

Lattice parameters (Å, degrees): 5.136 5.136 5.136 131.64 131.64 70.80
Fractional positions:
1 Hg 0.750 0.250 0.500
2 Ag 0.000 0.000 0.000
3 Ag 0.500 0.500 0.000
4 Al 0.250 0.750 0.500



12.
VASP calculation (PBE-GGA) on a relaxed structure of Al2AgHg.

Computed properties:
- magnetization (μB/atom) = 0.000
- total energy (eV/atom) = -2.50

Lattice parameters (Å, degrees): 2.944 5.501 4.789 90.00 90.00 90.00
Fractional positions:
1 Hg 0.500 0.000 0.500
2 Ag 0.000 0.500 0.500
3 Al 0.000 0.000 0.000
4 Al 0.500 0.500 0.000



13.
VASP calculation (PBE-GGA) on a relaxed structure of Al2AgHg2.

Computed properties:
- polymorph energy (0 for the lowest one) (meV/atom) = 106
- magnetization (μB/atom) = 0.000
- total energy (eV/atom) = -1.95

Lattice parameters (Å, degrees): 3.970 3.970 7.320 74.27 74.27 90.00
Fractional positions:
1 Hg 0.397 0.397 0.207
2 Hg 0.603 0.603 0.793
3 Ag 0.000 0.000 0.000
4 Al 0.750 0.250 0.500
5 Al 0.250 0.750 0.500



14.
VASP calculation (PBE-GGA) on a relaxed structure of Al2AgHg.

Computed properties:
- magnetization (μB/atom) = 0.000
- total energy (eV/atom) = -2.56

Lattice parameters (Å, degrees): 3.089 3.089 9.294 80.44 80.44 60.00
Fractional positions:
1 Al 0.079 0.079 0.763
2 Al 0.254 0.254 0.238
3 Ag 0.667 0.667 0.999
4 Hg 0.500 0.500 0.501



15.
VASP calculation (PBE-GGA) on a relaxed structure of Al2AgHg.

Computed properties:
- magnetization (μB/atom) = 0.000
- total energy (eV/atom) = -2.58

Lattice parameters (Å, degrees): 9.037 9.037 9.037 19.90 19.90 19.90
Fractional positions:
1 Hg 0.502 0.502 0.502
2 Ag 0.744 0.744 0.744
3 Al 0.001 0.001 0.001
4 Al 0.253 0.253 0.253



16.
VASP calculation (PBE-GGA) on a relaxed structure of AlAgHg2.

Computed properties:
- magnetization (μB/atom) = 0.000
- total energy (eV/atom) = -1.70

Lattice parameters (Å, degrees): 6.569 6.569 6.569 154.14 135.79 51.93
Fractional positions:
1 Hg 0.034 0.034 0.000
2 Hg 0.730 0.230 0.500
3 Ag 0.465 0.465 0.000
4 Al 0.271 0.771 0.500



17.
VASP calculation (PBE-GGA) on a relaxed structure of AlAg2Hg.

Computed properties:
- polymorph energy (0 for the lowest one) (meV/atom) = 49
- magnetization (μB/atom) = 0.000
- total energy (eV/atom) = -2.36

Lattice parameters (Å, degrees): 4.272 4.171 4.171 90.00 90.00 90.00
Fractional positions:
1 Hg 0.500 0.000 0.500
2 Ag 0.000 0.000 0.000
3 Ag 0.000 0.500 0.500
4 Al 0.500 0.500 0.000



18.
VASP calculation (PBE-GGA) on a relaxed structure of AlAg2Hg.

Computed properties:
- polymorph energy (0 for the lowest one) (meV/atom) = 78
- magnetization (μB/atom) = 0.000
- total energy (eV/atom) = -2.34

Lattice parameters (Å, degrees): 4.722 4.722 4.722 60.00 60.00 60.00
Fractional positions:
1 Hg 0.250 0.250 0.250
2 Ag 0.000 0.000 0.000
3 Ag 0.750 0.750 0.750
4 Al 0.500 0.500 0.500



19.
VASP calculation (PBE-GGA) on a relaxed structure of AlAgHg2.

Computed properties:
- magnetization (μB/atom) = 0.000
- total energy (eV/atom) = -1.68

Lattice parameters (Å, degrees): 3.112 3.112 9.622 74.89 74.89 69.24
Fractional positions:
1 Al 0.624 0.624 0.500
2 Ag 0.625 0.625 0.000
3 Hg 0.135 0.135 0.746
4 Hg 0.115 0.115 0.254



20.
VASP calculation (PBE-GGA) on a relaxed structure of AlAgHg2.

Computed properties:
- magnetization (μB/atom) = 0.000
- total energy (eV/atom) = -1.62

Lattice parameters (Å, degrees): 4.312 4.312 10.122 77.70 77.70 90.00
Fractional positions:
1 Hg 0.621 0.125 0.250
2 Hg 0.129 0.625 0.250
3 Hg 0.375 0.379 0.750
4 Hg 0.875 0.871 0.750
5 Ag 0.000 0.000 0.000
6 Ag 0.750 0.250 0.500
7 Al 0.500 0.500 0.000
8 Al 0.250 0.750 0.500